Entry from Alexandria via LeMat-Bulk: a geometry-optimized KCd2Pb6 structure (PBE-GGA).

Results
Formation enthalpy at 0 K = 0.26 eV per atom
Energy above the most stable polymorph in this dataset = 299 meV/atom
Calculated density = 7.52 g cm⁻³

a = 13.8590 Å, b = 13.8590 Å, c = 13.8590 Å
α = 90.00°, β = 90.00°, γ = 90.00°
Closest atoms and distances in Å follow each position.
Space group Fd-3m (No. 227, origin choice 2)
Asymmetric unit:
K 0.1250 0.1250 0.1250 (multiplicity 8)  6 Pb 3.39
Cd 0.0000 0.0000 0.5000 (multiplicity 16)  6 Pb 3.05
Pb 0.1194 0.3750 0.3750 (multiplicity 48)  2 Cd 3.05, 1 K 3.39

Entry from Alexandria via LeMat-Bulk: a geometry-optimized K2Cd10Pb structure (PBE-GGA).

Results
Formation enthalpy at 0 K = 0.01 eV per atom
Calculated density = 5.59 g cm⁻³

a = 10.2839 Å, b = 12.5847 Å, c = 6.4708 Å
α = 90.00°, β = 90.00°, γ = 90.00°
Closest atoms and distances in Å follow each position.
Space group Pbam (No. 55)
Asymmetric unit:
K 0.2292 0.0620 0.0000 (multiplicity 4)  12 Cd 3.65-4.00, 2 Pb 4.08
Cd 0.0513 0.6153 0.5000 (multiplicity 4)  6 Cd 2.86-3.09
Cd 0.0886 0.7989 0.2198 (multiplicity 8)  3 Cd 2.84-3.17
Cd 0.1730 0.2063 0.5000 (multiplicity 4)  5 Cd 2.91-3.24, 1 Pb 3.15
Cd 0.2205 0.4339 0.5000 (multiplicity 4)  5 Cd 2.86-3.17, 1 Pb 2.99
Pb 0.0000 0.0000 0.5000 (multiplicity 2)  8 Cd 2.99-3.24

Entry from Alexandria via LeMat-Bulk: a geometry-optimized KCdPb4 structure (PBE-GGA).

Results
Formation enthalpy at 0 K = 0.01 eV per atom
Calculated density = 7.98 g cm⁻³

a = 9.3458 Å, b = 9.3458 Å, c = 9.3458 Å
α = 90.00°, β = 90.00°, γ = 90.00°
Closest atoms and distances in Å follow each position.
Space group F-43m (No. 216)
Asymmetric unit:
K 0.0000 0.0000 0.0000 (multiplicity 4)  12 Pb 3.88, 4 Cd 4.05
Cd 0.2500 0.2500 0.2500 (multiplicity 4)  12 Pb 3.87, 4 K 4.05
Pb 0.1248 0.1248 0.6248 (multiplicity 16)  6 Pb 3.30-3.31

Entry from Alexandria via LeMat-Bulk: a geometry-optimized K2Cd2Pb structure (PBE-GGA).

Results
Formation enthalpy at 0 K = -0.14 eV per atom
Energy above the most stable polymorph in this dataset = 0 meV/atom
Calculated density = 4.77 g cm⁻³

a = 11.3687 Å, b = 6.8116 Å, c = 9.4132 Å
α = 90.00°, β = 103.05°, γ = 90.00°
Closest atoms and distances in Å follow each position.
Space group C2/c (No. 15)
Asymmetric unit:
K 0.1488 0.1293 0.1518 (multiplicity 8)  6 Cd 3.54-3.71, 2 Pb 3.89-3.90
Cd 0.1354 0.3720 0.4950 (multiplicity 8)  1 Cd 3.07, 2 Pb 3.10-3.13
Pb 0.0000 0.3535 0.7500 (multiplicity 4)  4 Cd 3.10-3.13

Entry from Alexandria via LeMat-Bulk: a geometry-optimized KCdPb structure (PBE-GGA).

Results
Formation enthalpy at 0 K = -0.14 eV per atom
Energy above the most stable polymorph in this dataset = 0 meV/atom
Calculated density = 5.89 g cm⁻³

a = 8.7005 Å, b = 5.1956 Å, c = 8.9483 Å
α = 90.00°, β = 90.00°, γ = 90.00°
Closest atoms and distances in Å follow each position.
Space group Pnma (No. 62)
Asymmetric unit:
K 0.0026 0.2500 0.1848 (multiplicity 4)  6 Cd 3.64-3.96, 6 Pb 3.64-3.94
Cd 0.1816 0.7500 0.4109 (multiplicity 4)  4 Pb 3.06-3.14
Pb 0.1788 0.2500 0.5907 (multiplicity 4)  4 Cd 3.06-3.14

Entry from Alexandria via LeMat-Bulk: a geometry-optimized KCd5Pb7 structure (PBE-GGA).

Results
Formation enthalpy at 0 K = -0.02 eV per atom
Calculated density = 8.81 g cm⁻³

a = 6.0181 Å, b = 11.0661 Å, c = 11.6102 Å
α = 90.00°, β = 90.00°, γ = 90.00°
Closest atoms and distances in Å follow each position.
Space group Imm2 (No. 44)
Asymmetric unit:
K 0.0000 0.0000 0.0000 (multiplicity 2)  10 Pb 3.76-4.12, 6 Cd 3.91-4.18
Cd 0.0000 0.5000 0.2850 (multiplicity 2)  4 Cd 3.07, 4 Pb 3.38-3.42
Cd 0.2505 0.2403 0.7541 (multiplicity 8)  3 Cd 3.00-3.07, 4 Pb 3.26-3.35
Pb 0.0000 0.0000 0.3533 (multiplicity 2)  5 Pb 3.36-3.70, 4 Cd 3.44
Pb 0.0000 0.0000 0.6450 (multiplicity 2)  6 Cd 3.31-3.42, 3 Pb 3.39-3.67
Pb 0.0000 0.2957 0.5016 (multiplicity 4)  5 Cd 3.27-3.38, 3 Pb 3.41-3.44
Pb 0.0000 0.3495 0.0037 (multiplicity 4)  4 Pb 3.33-3.64, 5 Cd 3.42-3.67
Pb 0.0000 0.5000 0.7250 (multiplicity 2)  4 Cd 3.26, 6 Pb 3.36-3.64

> What is the calculated density in the first record?

7.52 g cm⁻³

> Which of these has the highest calculated density?

KCd5Pb7